1.
A plane-wave DFT calculation with GGA-PBE was carried out for an optimized crystal structure of DyHo7.

Cell and atoms, written as extended XYZ:
```
8
Lattice="0.000 4.970 4.970 4.970 0.000 4.970 4.970 4.970 0.000" Properties=species:S:1:pos:R:3 pbc="T T T"
Dy 0.000 0.000 0.000
Ho 2.485 2.485 0.000
Ho 2.485 0.000 2.485
Ho 4.970 2.485 2.485
Ho 0.000 2.485 2.485
Ho 2.485 4.970 2.485
Ho 2.485 2.485 4.970
Ho 4.970 4.970 4.970
```

Calculated values
Total magnetic moment, μB per cell: 0.00
Energy above the most stable polymorph in this dataset, meV per atom: 0.0
Crystal system: cubic
Energy relative to the elements, kJ/mol of atoms: 2
DOS(E_F), states/eV/cell: 11.724

---

2.
A plane-wave DFT calculation with GGA-PBE was carried out for an optimized crystal structure of Dy7Ho3.

Cell and atoms, written as extended XYZ:
```
10
Lattice="8.988 -2.490 0.000 8.988 2.490 0.000 -1.383 0.000 6.938" Properties=species:S:1:pos:R:3 pbc="T T T"
Dy 0.000 0.000 0.000
Dy 2.766 0.000 4.163
Dy 6.914 0.000 1.385
Dy 6.224 0.000 4.856
Dy 10.370 0.000 2.082
Dy 9.681 0.000 5.553
Dy 13.829 0.000 2.775
Ho -0.691 0.000 3.469
Ho 3.460 0.000 0.695
Ho 13.135 0.000 6.243
```

Calculated values
Total magnetic moment, μB per cell: 0.00
Energy above the most stable polymorph in this dataset, meV per atom: 0.0
Crystal system: monoclinic
Energy relative to the elements, kJ/mol of atoms: 1
DOS(E_F), states/eV/cell: 12.050

---

3.
A plane-wave DFT calculation with GGA-PBE was carried out for an optimized crystal structure of Dy4Ho5.

Cell and atoms, written as extended XYZ:
```
9
Lattice="5.844 -5.288 0.000 5.844 5.288 0.000 -2.111 0.000 4.505" Properties=species:S:1:pos:R:3 pbc="T T T"
Dy 1.597 1.763 0.751
Dy 7.980 -1.763 3.754
Dy 1.597 -1.763 0.751
Dy 7.980 1.763 3.754
Ho -1.055 0.000 2.252
Ho 4.788 1.761 2.252
Ho 2.139 0.000 3.755
Ho 7.438 0.000 0.750
Ho 4.788 -1.761 2.252
```

Calculated values
Total magnetic moment, μB per cell: 0.00
Energy above the most stable polymorph in this dataset, meV per atom: 0.0
Crystal system: monoclinic
Energy relative to the elements, kJ/mol of atoms: 2
DOS(E_F), states/eV/cell: 12.750

---

4.
A plane-wave DFT calculation with GGA-PBE was carried out for an optimized crystal structure of Dy3Ho7.

Cell and atoms, written as extended XYZ:
```
10
Lattice="8.970 -2.485 0.000 8.970 2.485 0.000 -1.383 0.000 6.920" Properties=species:S:1:pos:R:3 pbc="T T T"
Dy 0.000 0.000 0.000
Dy 2.756 0.000 4.153
Dy 13.800 0.000 2.767
Ho -0.691 0.000 3.460
Ho 3.448 0.000 0.692
Ho 6.899 0.000 1.383
Ho 6.209 0.000 4.844
Ho 10.347 0.000 2.077
Ho 9.658 0.000 5.538
Ho 13.108 0.000 6.228
```

Calculated values
Total magnetic moment, μB per cell: 0.00
Energy above the most stable polymorph in this dataset, meV per atom: 0.0
Crystal system: monoclinic
Energy relative to the elements, kJ/mol of atoms: 2
DOS(E_F), states/eV/cell: 12.044

---

5.
A plane-wave DFT calculation with GGA-PBE was carried out for an optimized crystal structure of Dy6Ho.

Cell and atoms, written as extended XYZ:
```
7
Lattice="-3.995 3.995 3.995 3.995 -3.995 3.995 3.995 3.995 -3.995" Properties=species:S:1:pos:R:3 pbc="T T T"
Dy 3.995 1.997 0.000
Dy 3.995 0.000 1.997
Dy 1.997 3.995 0.000
Dy 1.997 0.000 3.995
Dy 0.000 3.995 1.997
Dy 0.000 1.997 3.995
Ho 0.000 0.000 0.000
```

Calculated values
Total magnetic moment, μB per cell: 0.00
Energy above the most stable polymorph in this dataset, meV per atom: 1235.0
Crystal system: cubic
Energy relative to the elements, kJ/mol of atoms: 145
DOS(E_F), states/eV/cell: 6.305

---

6.
A plane-wave DFT calculation with GGA-PBE was carried out for an optimized crystal structure of Dy8Ho3.

Cell and atoms, written as extended XYZ:
```
11
Lattice="6.157 3.555 2.807 -6.157 3.555 2.807 0.000 -7.110 2.807" Properties=species:S:1:pos:R:3 pbc="T T T"
Dy -3.015 -0.679 3.934
Dy 0.000 0.000 2.102
Dy -0.920 -2.951 4.486
Dy -2.096 2.272 4.486
Dy 2.096 -2.272 3.934
Dy 0.920 2.951 3.934
Dy 0.000 0.000 6.317
Dy 3.015 0.679 4.486
Ho -6.157 0.000 4.210
Ho -3.079 1.777 1.403
Ho 3.079 1.777 1.403
```

Calculated values
Total magnetic moment, μB per cell: 0.00
Energy above the most stable polymorph in this dataset, meV per atom: 0.0
Crystal system: trigonal
Energy relative to the elements, kJ/mol of atoms: 39
DOS(E_F), states/eV/cell: 13.636

---

7.
A plane-wave DFT calculation with GGA-PBE was carried out for an optimized crystal structure of DyHo5.

Cell and atoms, written as extended XYZ:
```
6
Lattice="3.049 -5.267 0.000 3.049 5.267 0.000 -2.025 0.000 5.750" Properties=species:S:1:pos:R:3 pbc="T T T"
Dy 0.000 0.000 0.000
Ho 2.037 3.510 2.875
Ho 3.049 1.757 0.000
Ho 2.037 0.000 2.875
Ho 3.049 -1.757 0.000
Ho 2.037 -3.510 2.875
```

Calculated values
Total magnetic moment, μB per cell: 0.00
Energy above the most stable polymorph in this dataset, meV per atom: 16.1
Crystal system: monoclinic
Energy relative to the elements, kJ/mol of atoms: 2
DOS(E_F), states/eV/cell: 7.952

---

8.
A plane-wave DFT calculation with GGA-PBE was carried out for an optimized crystal structure of Dy7Ho5.

Cell and atoms, written as extended XYZ:
```
12
Lattice="4.776 -2.811 0.000 4.776 2.811 0.000 -3.283 0.000 14.210" Properties=species:S:1:pos:R:3 pbc="T T T"
Dy 0.000 0.000 0.000
Dy -0.111 0.000 8.237
Dy -0.171 0.000 11.758
Dy 3.311 0.000 4.079
Dy 2.958 0.000 10.130
Dy 6.440 0.000 2.452
Dy 6.379 0.000 5.973
Ho 0.098 0.000 4.330
Ho 3.198 0.000 0.856
Ho 3.134 0.000 7.105
Ho 3.071 0.000 13.354
Ho 6.171 0.000 9.880
```

Calculated values
Total magnetic moment, μB per cell: 0.00
Energy above the most stable polymorph in this dataset, meV per atom: 191.3
Crystal system: monoclinic
Energy relative to the elements, kJ/mol of atoms: 19
DOS(E_F), states/eV/cell: 20.671

---

9.
A plane-wave DFT calculation with GGA-PBE was carried out for an optimized crystal structure of Dy6Ho5.

Cell and atoms, written as extended XYZ:
```
11
Lattice="4.539 -6.454 0.000 4.539 6.454 0.000 -1.891 0.000 5.949" Properties=species:S:1:pos:R:3 pbc="T T T"
Dy 0.369 1.723 3.975
Dy 1.181 0.000 1.086
Dy 0.369 -1.723 3.975
Dy 6.819 1.723 1.974
Dy 6.006 0.000 4.862
Dy 6.819 -1.723 1.974
Ho 4.539 3.346 0.000
Ho 3.594 1.650 2.974
Ho 4.539 0.000 0.000
Ho 3.594 -1.650 2.974
Ho 4.539 -3.346 0.000
```

Calculated values
Total magnetic moment, μB per cell: 0.00
Crystal system: monoclinic
Energy relative to the elements, kJ/mol of atoms: 14
DOS(E_F), states/eV/cell: 12.070

---

10.
A plane-wave DFT calculation with GGA-PBE was carried out for an optimized crystal structure of Dy8Ho3.

Cell and atoms, written as extended XYZ:
```
11
Lattice="4.775 2.757 4.504 -4.775 2.757 4.504 0.000 -5.514 4.504" Properties=species:S:1:pos:R:3 pbc="T T T"
Dy 0.000 0.000 1.537
Dy -2.019 0.340 5.231
Dy 0.715 -1.918 5.231
Dy -1.304 -1.578 8.282
Dy 1.304 1.578 5.231
Dy -0.715 1.918 8.282
Dy 2.019 -0.340 8.282
Dy 0.000 0.000 11.975
Ho -4.775 0.000 6.756
Ho -2.388 1.378 2.252
Ho 2.388 1.378 2.252
```

Calculated values
Total magnetic moment, μB per cell: 0.00
Energy above the most stable polymorph in this dataset, meV per atom: 162.8
Crystal system: trigonal
Energy relative to the elements, kJ/mol of atoms: 54
DOS(E_F), states/eV/cell: 11.774

---

11.
A plane-wave DFT calculation with GGA-PBE was carried out for an optimized crystal structure of DyHo5.

Cell and atoms, written as extended XYZ:
```
6
Lattice="2.488 -7.469 0.000 2.488 7.469 0.000 0.000 0.000 4.971" Properties=species:S:1:pos:R:3 pbc="T T T"
Dy 0.000 0.000 0.000
Ho 2.488 4.978 2.486
Ho 2.488 2.492 0.000
Ho 2.488 0.000 2.486
Ho 2.488 -2.492 0.000
Ho 2.488 -4.978 2.486
```

Calculated values
Total magnetic moment, μB per cell: 0.00
Energy above the most stable polymorph in this dataset, meV per atom: 15.6
Crystal system: orthorhombic
Energy relative to the elements, kJ/mol of atoms: 2
DOS(E_F), states/eV/cell: 7.753

---

12.
A plane-wave DFT calculation with GGA-PBE was carried out for an optimized crystal structure of DyHo6.

Cell and atoms, written as extended XYZ:
```
7
Lattice="-3.996 3.996 3.996 3.996 -3.996 3.996 3.996 3.996 -3.996" Properties=species:S:1:pos:R:3 pbc="T T T"
Dy 0.000 0.000 0.000
Ho 3.996 1.998 0.000
Ho 3.996 0.000 1.998
Ho 1.998 3.996 0.000
Ho 1.998 0.000 3.996
Ho 0.000 3.996 1.998
Ho 0.000 1.998 3.996
```

Calculated values
Total magnetic moment, μB per cell: 0.00
Energy above the most stable polymorph in this dataset, meV per atom: 1256.4
Crystal system: cubic
Energy relative to the elements, kJ/mol of atoms: 147
DOS(E_F), states/eV/cell: 6.940